(1)
# AcIrSe2 (PBE, optimized geometry)
data_AcIrSe2
_chemical_formula_sum 'Ac3 Ir3 Se6'
_symmetry_space_group_name_H-M 'R -3 m'
_symmetry_Int_Tables_number 166
_symmetry_space_group_name_Hall '-R 3 2"'
_cell_length_a 3.9169
_cell_length_b 3.9169
_cell_length_c 25.6189
_cell_angle_alpha 90.00
_cell_angle_beta 90.00
_cell_angle_gamma 120.00
loop_
_atom_site_label
_atom_site_type_symbol
_atom_site_fract_x
_atom_site_fract_y
_atom_site_fract_z
_atom_site_occupancy
Ac1 Ac 0.0000 0.0000 0.0000 1
Ir1 Ir 0.0000 0.0000 0.5000 1
Se1 Se 0.0000 0.0000 0.1209 1
# E_form (uncorrected) = -369.6 meV per atom
# density = 8.45 Mg/m³
# total DFT energy (no corrections) = -0.19677 Ha/atom

=====

(2)
# MnInPCl2 (PBE, optimized geometry)
data_MnInPCl2
_chemical_formula_sum 'Mn1 In1 P1 Cl2'
_symmetry_space_group_name_H-M 'P 4/m m m'
_symmetry_Int_Tables_number 123
_symmetry_space_group_name_Hall '-P 4 2'
_cell_length_a 5.032
_cell_length_b 5.032
_cell_length_c 5.294
_cell_angle_alpha 90.00
_cell_angle_beta 90.00
_cell_angle_gamma 90.00
loop_
_atom_site_label
_atom_site_type_symbol
_atom_site_fract_x
_atom_site_fract_y
_atom_site_fract_z
_atom_site_occupancy
Mn1 Mn 0.000 0.000 0.000 1
In1 In 0.500 0.500 0.500 1
P1 P 0.500 0.500 0.000 1
Cl1 Cl 0.000 0.500 0.500 1
# relative energy among the computed polymorphs = 0.524 eV per atom
# E_form (uncorrected) = 255.0 meV per atom
# density = 3.37 Mg/m³
# total DFT energy (no corrections) = -0.14506 Ha/atom

=====

(3)
# Pm6Sn2Bi (PBE, optimized geometry)
data_Pm6Sn2Bi
_chemical_formula_sum 'Pm6 Sn2 Bi1'
_symmetry_space_group_name_H-M 'P -3'
_symmetry_Int_Tables_number 147
_symmetry_space_group_name_Hall '-P 3'
_cell_length_a 8.6393
_cell_length_b 8.6393
_cell_length_c 4.5262
_cell_angle_alpha 90.00
_cell_angle_beta 90.00
_cell_angle_gamma 120.00
loop_
_atom_site_label
_atom_site_type_symbol
_atom_site_fract_x
_atom_site_fract_y
_atom_site_fract_z
_atom_site_occupancy
Pm1 Pm 0.0784 0.3839 0.2432 1
Sn1 Sn 0.3333 0.6667 0.7409 1
Bi1 Bi 0.0000 0.0000 0.5000 1
# density = 7.47 Mg/m³
# energy of formation from the pure elements = -537 meV/atom
# total DFT energy (no corrections) = -0.18466 Ha/atom

=====

(4)
# PPdBrO2 (PBE, optimized geometry)
data_PPdBrO2
_chemical_formula_sum 'P1 Pd1 Br1 O2'
_symmetry_space_group_name_H-M 'P 4/m m m'
_symmetry_Int_Tables_number 123
_symmetry_space_group_name_Hall '-P 4 2'
_cell_length_a 3.898
_cell_length_b 3.898
_cell_length_c 5.293
_cell_angle_alpha 90.00
_cell_angle_beta 90.00
_cell_angle_gamma 90.00
loop_
_atom_site_label
_atom_site_type_symbol
_atom_site_fract_x
_atom_site_fract_y
_atom_site_fract_z
_atom_site_occupancy
P1 P 0.000 0.000 0.000 1
Pd1 Pd 0.000 0.000 0.500 1
Br1 Br 0.500 0.500 0.000 1
O1 O 0.000 0.500 0.500 1
# relative energy among the computed polymorphs = 0.000 eV per atom
# E_form (uncorrected) = 351.3 meV per atom
# density = 5.15 Mg/m³
# total DFT energy (no corrections) = -0.15020 Ha/atom

=====

(5)
# TcNiP (PBE, optimized geometry)
data_TcNiP
_chemical_formula_sum 'Tc2 Ni2 P2'
_symmetry_space_group_name_H-M 'P 1 m 1'
_symmetry_Int_Tables_number 6
_symmetry_space_group_name_Hall 'P -2y'
_cell_length_a 4.486
_cell_length_b 2.874
_cell_length_c 6.105
_cell_angle_alpha 90.00
_cell_angle_beta 94.39
_cell_angle_gamma 90.00
loop_
_atom_site_label
_atom_site_type_symbol
_atom_site_fract_x
_atom_site_fract_y
_atom_site_fract_z
_atom_site_occupancy
Tc1 Tc 0.000 0.000 0.000 1
Tc2 Tc 0.237 0.500 0.340 1
Ni1 Ni 0.485 0.500 0.911 1
Ni2 Ni 0.690 0.000 0.586 1
P1 P 0.199 0.000 0.659 1
P2 P 0.599 0.000 0.215 1
# relative energy among the computed polymorphs = 0.229 eV per atom
# density = 7.94 Mg/m³
# energy of formation from the pure elements = -274 meV/atom
# total DFT energy (no corrections) = -0.27412 Ha/atom

=====

(6)
# TlPdF3 (PBE, optimized geometry)
data_TlPdF3
_chemical_formula_sum 'Tl2 Pd2 F6'
_symmetry_space_group_name_H-M 'P 1 21/m 1'
_symmetry_Int_Tables_number 11
_symmetry_space_group_name_Hall '-P 2yb'
_cell_length_a 6.907
_cell_length_b 4.059
_cell_length_c 7.244
_cell_angle_alpha 90.00
_cell_angle_beta 111.72
_cell_angle_gamma 90.00
loop_
_atom_site_label
_atom_site_type_symbol
_atom_site_fract_x
_atom_site_fract_y
_atom_site_fract_z
_atom_site_occupancy
Tl1 Tl 0.206 0.250 0.315 1
Pd1 Pd 0.298 0.750 0.839 1
F1 F 0.228 0.750 0.081 1
F2 F 0.248 0.250 0.808 1
F3 F 0.375 0.750 0.599 1
# relative energy among the computed polymorphs = 0.015 eV per atom
# E_form (uncorrected) = -1425.4 meV per atom
# density = 6.47 Mg/m³
# total DFT energy (no corrections) = -0.14920 Ha/atom